DFT (GGA-PBE) results for a relaxed La2Pm2Nd crystal.

It has space group P2_1/c (No. 14), with a = 15.2159 Å, b = 7.3726 Å, c = 6.4135 Å, α = 90.00°, β = 98.17° and γ = 90.00°. The inequivalent atoms are La at (0.9996, 0.1246, 0.2501), La at (0.3996, 0.1245, 0.0508), Pm at (0.2004, 0.1251, 0.6490), Pm at (0.3999, 0.6253, 0.0503) and Nd at (0.2006, 0.6252, 0.6510).

For the energy above the lowest structure with this stoichiometry, the calculation gives 0 meV/atom. The formation energy is 0.015 eV per atom.